Li2MoHO after structural relaxation, computed with GGA+U.

Total moment ... 1.01 μB/cell
VASP energy ... -3.87 eV per atom
Crystal system ... tetragonal

Cell lengths 3.576, 3.857, 3.576 Å; angles 90.00, 90.00, 90.00 degrees
Each line ends with the local moment (μB).
Fractional coordinates of all 5 atoms:
H1 0.000 0.000 0.000  0.00
Mo1 0.000 0.500 0.000  0.90
O1 0.500 0.500 0.500  0.03
Li1 0.000 0.000 0.500  0.00
Li2 0.500 0.000 0.000  0.00